Material: ScTa3O
Method: DFT, PBE
State: optimized geometry

As for the space-group type: No. 221. The value obtained for the total energy is -6.959 eV per atom. The calculation puts the uncorrected formation energy at 2411 meV per atom. As for the energy relative to the lowest polymorph listed for this composition: 2994.0 meV per atom.

```
5
Lattice="-4.2445 -1.8369 -1.0487 1.7987 -1.8975 -3.9565 1.1129 -3.9389 2.3950" Properties=species:S:1:pos:R:3 pbc="T T T"
Ta -2.1222 -0.9185 -0.5243
Ta 0.5565 -1.9695 1.1975
Ta 0.8994 -0.9487 -1.9782
Sc 0.0000 0.0000 0.0000
O -0.6664 -3.8366 -1.3051
```

Material: TbCe2PrSe5
Method: DFT, PBE
State: optimized geometry

As for the space-group type: No. 123. The value obtained for the total energy is -5.598 eV per atom. The calculation puts the uncorrected formation energy at -1298 meV per atom.

```
9
Lattice="-2.4836 1.2998 4.3279 -1.3583 -4.9249 0.6996 9.2459 -1.7229 5.8233" Properties=species:S:1:pos:R:3 pbc="T T T"
Se 6.9361 -1.2925 4.3685
Se 3.3811 -0.2116 5.0756
Se 3.9438 -3.3239 3.2614
Se -1.9210 -1.8125 2.5138
Se 2.3099 -0.4304 1.4548
Pr 0.0000 0.0000 0.0000
Ce 0.9934 -2.3556 4.3493
Ce 4.4106 -2.9924 6.5015
Tb 4.6230 -0.8615 2.9117
```

Material: ScMn4Os
Method: DFT, PBE
State: optimized geometry

As for the space-group type: No. 216. The formation enthalpy at 0 K is -0.0297 eV per atom. The value obtained for the total energy is -9.070 eV per atom.

```
6
Lattice="-1.9370 -3.0890 3.0619 -3.6733 -2.7091 -1.3551 0.6014 -4.6797 -0.6388" Properties=species:S:1:pos:R:3 pbc="T T T"
Mn -1.5601 -6.2885 0.0725
Mn -3.7379 -5.2846 -0.2924
Mn -2.8534 -5.4781 1.9579
Mn -1.8665 -3.9044 0.3980
Os -3.7567 -7.8583 0.8010
Sc 0.0000 0.0000 0.0000
```

Material: CdC2SF
Method: DFT, PBE
State: optimized geometry

As for the space-group type: No. 123. The value obtained for the total energy is -2.905 eV per atom. The calculation puts the uncorrected formation energy at 2168 meV per atom.

```
5
Lattice="3.7354 0.0000 0.0000 0.0000 6.5819 0.0000 0.0000 0.0000 3.7354" Properties=species:S:1:pos:R:3 pbc="T T T"
C 1.8677 0.0000 0.0000
C 0.0000 0.0000 1.8677
Cd 1.8677 3.2910 1.8677
S 0.0000 3.2910 0.0000
F 0.0000 0.0000 0.0000
```

Material: CsPrCdTe3
Method: DFT, PBE
State: optimized geometry

As for the space-group type: No. 63. The value obtained for the total energy is -3.776 eV per atom. The calculation puts the uncorrected formation energy at -1114 meV per atom. As for the energy relative to the lowest polymorph listed for this composition: 0.0 meV per atom.

```
12
Lattice="-6.6372 3.3692 5.0220 7.8431 -4.3260 -0.6287 5.9183 10.6296 0.6905" Properties=species:S:1:pos:R:3 pbc="T T T"
Cs 1.4186 9.4192 4.1283
Cs 5.7056 0.2536 0.9555
Cd 1.5759 2.4482 2.5670
Cd 5.5483 7.2245 2.5168
Te 1.4559 5.2074 3.2008
Te 11.3131 4.1610 0.2672
Te -4.1889 5.5118 4.8166
Te 5.6683 4.4654 1.8829
Te 7.9845 8.6253 2.1532
Te -0.8603 1.0475 2.9306
Pr 2.9591 5.3148 0.3452
Pr 0.0000 0.0000 0.0000
```

Material: Cs3RbH4
Method: DFT, PBE
State: optimized geometry

As for the space-group type: No. 221. The value obtained for the total energy is -2.283 eV per atom. As for the energy relative to the lowest polymorph listed for this composition: 2.3 meV per atom.

```
8
Lattice="-2.8450 -3.4529 4.4181 5.5781 -1.2372 2.6250 -0.5722 5.1071 3.6230" Properties=species:S:1:pos:R:3 pbc="T T T"
H -0.2861 2.5536 1.8115
H 1.0804 0.2085 5.3330
H 2.7890 -0.6186 1.3125
H -1.4225 -1.7265 2.2090
Cs 1.3665 -2.3451 3.5215
Cs 2.5029 1.9350 3.1240
Cs -1.7086 0.8271 4.0205
Rb 0.0000 0.0000 0.0000
```

Material: LaPrGe
Method: DFT, PBE
State: optimized geometry

As for the space-group type: No. 12. The formation enthalpy at 0 K is -0.4245 eV per atom. The value obtained for the total energy is -5.199 eV per atom. As for the energy relative to the lowest polymorph listed for this composition: 196.9 meV per atom.

```
6
Lattice="4.1160 0.0000 0.0000 -2.0580 5.1376 -2.2030 0.0000 -6.2494 11.8309" Properties=species:S:1:pos:R:3 pbc="T T T"
Ge 2.0580 -0.6953 8.3882
Ge 0.0000 -0.4166 1.2397
La 2.0580 0.1891 3.4094
La 0.0000 -1.3010 6.2185
Pr 0.0000 -3.0780 9.1618
Pr 2.0580 1.9662 0.4661
```

Material: LaTaSi2
Method: DFT, PBE
State: optimized geometry

As for the space-group type: No. 216. The value obtained for the total energy is -6.504 eV per atom. The calculation puts the uncorrected formation energy at 403 meV per atom. As for the energy relative to the lowest polymorph listed for this composition: 817.8 meV per atom.

```
4
Lattice="4.7583 0.0000 0.0000 2.3792 4.1208 0.0000 2.3792 1.3736 3.8852" Properties=species:S:1:pos:R:3 pbc="T T T"
Si 2.3792 1.3736 0.9713
Si 0.0000 0.0000 0.0000
La 4.7583 2.7472 1.9426
Ta 7.1375 4.1208 2.9139
```

Material: Pr8Ir3SCl4
Method: DFT, PBE
State: optimized geometry

As for the space-group type: No. 166. The value obtained for the total energy is -6.062 eV per atom. The calculation puts the uncorrected formation energy at -1292 meV per atom.

```
16
Lattice="-0.6731 -3.7755 -7.4696 8.0989 -3.4576 1.0179 -5.7236 -1.4517 5.9688" Properties=species:S:1:pos:R:3 pbc="T T T"
Ir 1.1877 -2.4546 3.4933
Ir 3.7129 -3.6166 -3.2259
Ir 0.8511 -4.3424 -0.2414
Cl -2.8618 -0.7258 2.9844
Cl 0.0000 0.0000 0.0000
Cl -0.3365 -1.8878 -3.7348
Cl -3.1983 -2.6136 -0.7504
S 4.0495 -1.7288 0.5089
Pr -0.8194 -2.7935 1.4858
Pr -0.2802 -6.5894 1.0800
Pr 2.8048 -4.0685 1.8037
Pr 2.5216 -5.8913 -1.9687
Pr 1.6578 -3.9162 -5.1651
Pr 1.9824 -2.0954 -1.5629
Pr 0.0444 -4.7686 4.6822
Pr -1.1025 -4.6163 -2.2866
```

Material: Y4Er4Tm5
Method: DFT, PBE
State: optimized geometry

As for the space-group type: No. 87. The formation enthalpy at 0 K is 0.0276 eV per atom. The value obtained for the total energy is -5.085 eV per atom.

```
13
Lattice="-4.6625 -0.0853 1.7252 0.7451 -1.9170 9.0839 -1.8219 8.7340 2.6730" Properties=species:S:1:pos:R:3 pbc="T T T"
Tm -3.9991 5.0458 10.9367
Tm -3.5245 6.9084 5.1464
Tm 0.0000 0.0000 0.0000
Tm -2.2148 -0.1766 8.3357
Tm -1.7402 1.6860 2.5454
Er -2.2621 3.3402 8.3818
Er -5.2202 5.0726 7.6382
Er -3.4773 3.3916 5.1003
Er -0.5192 1.6591 5.8439
Y -3.9591 1.5037 10.8698
Y -3.4450 -0.1277 5.0135
Y -2.2944 6.8595 8.4686
Y -1.7802 5.2281 2.6123
```

Material: MgCd2Ga6
Method: DFT, PBE
State: optimized geometry

As for the space-group type: No. 65. The formation enthalpy at 0 K is 0.0310 eV per atom. The value obtained for the total energy is -2.367 eV per atom. As for the energy relative to the lowest polymorph listed for this composition: 0.0 meV per atom.

```
9
Lattice="-0.2174 -2.5379 -1.8189 -0.5523 -4.7218 6.6533 -7.3403 -1.6633 3.1969" Properties=species:S:1:pos:R:3 pbc="T T T"
Ga -0.2945 -2.8449 1.3030
Ga -2.9228 -4.9716 4.5921
Ga -2.5524 -1.8275 0.1533
Ga -7.8155 -6.0781 6.7283
Ga -5.5575 -7.0955 7.8780
Ga -5.1872 -3.9513 3.4391
Cd -2.6306 -2.1283 3.2830
Cd -5.4793 -6.7947 4.7483
Mg 0.0000 0.0000 0.0000
```

Material: YMnRe
Method: DFT, PBE
State: optimized geometry

As for the space-group type: No. 156. The formation enthalpy at 0 K is 0.5848 eV per atom. The value obtained for the total energy is -8.776 eV per atom. As for the energy relative to the lowest polymorph listed for this composition: 648.4 meV per atom.

```
3
Lattice="3.0828 0.0000 0.0000 -1.5414 2.6698 0.0000 0.0000 0.0000 6.7531" Properties=species:S:1:pos:R:3 pbc="T T T"
Y 0.0000 1.7799 4.4645
Mn 0.0000 0.0000 0.2662
Re 1.5414 0.8899 2.0224
```